Here is crystalline Mn2Ag2F at its relaxed geometry from Alexandria. Energies are from PBE with a Hubbard U.

a b c (Å): 6.061 6.061 4.814
angles (deg): 90.00 90.00 90.00
Space group P4/mbm (No. 127)
Unique sites:
Mn (0.167, 0.333, 0.000) (multiplicity 4)
Ag (0.157, 0.657, 0.500) (multiplicity 4)
F (0.000, 0.000, 0.000) (multiplicity 2)

Summary:
DFT total energy = -4.82 eV/atom
Distance to the lowest polymorph of the same formula = 0 meV per atom
D(E_F) = 0.409 states/eV/atom
Magnetic moment = 18.561 μB per cell